Computed, not measured: a relaxed structure of AcSe2IO8 at the GGA-PBE level of DFT.

Cell lengths 12.0369, 5.1782, 6.7521 Å; angles 90.00, 112.33, 90.00 degrees
With the nearest neighbours (Å) after each atom.
Space group C2/m (No. 12)
Inequivalent atoms, fractional coordinates:
Ac1 0.0000 0.0000 0.0000 x2  6 O 2.60-2.69
Se1 0.2048 0.0000 0.6652 x4  3 O 1.69-1.79
I1 0.0000 0.5000 0.5000 x2  4 O 2.14
O1 0.0634 0.5000 0.0789 x4  1 O 1.49
O2 0.1174 0.2386 0.7318 x8  1 Se 1.79
O3 0.1527 0.0000 0.3942 x4  1 Se 1.69

Results
The spin magnetization is 0.00 μB/cell. The formation energy (no corrections) comes out at -1016 meV per atom.

---

Computed, not measured: a relaxed structure of PaGaRu at the GGA-PBE level of DFT.

Cell lengths 4.2356, 9.7786, 5.4997 Å; angles 90.00, 90.00, 90.00 degrees
With the nearest neighbours (Å) after each atom.
Space group Cmcm (No. 63)
Inequivalent atoms, fractional coordinates:
Pa1 0.0000 0.2030 0.2500 x4  5 Ru 2.83-3.01
Ga1 0.0000 0.5000 0.0000 x4  4 Ru 2.73, 2 Ga 2.75
Ru1 0.0000 0.1052 0.7500 x4  4 Ga 2.73, 5 Pa 2.83-3.01

Results
As for the calculated formation energy: -0.537 eV/atom. The spin magnetization is 0.00 μB/cell.

---

Computed, not measured: a relaxed structure of Li2YSc at the GGA-PBE level of DFT.

Cell lengths 3.6040, 3.6040, 7.1898 Å; angles 90.00, 90.00, 90.00 degrees
With the nearest neighbours (Å) after each atom.
Space group P4/mmm (No. 123)
Inequivalent atoms, fractional coordinates:
Li1 0.0000 0.0000 0.2323 x2  4 Sc 3.05, 4 Y 3.19, 1 Li 3.34
Y1 0.5000 0.5000 0.5000 x1  8 Li 3.19
Sc1 0.5000 0.5000 0.0000 x1  8 Li 3.05

Results
As for the calculated formation energy: 0.176 eV/atom. The spin magnetization is 0.00 μB/cell. The value obtained for the excess energy over the best structure of this formula in the dataset is 0.36 eV/f.u.

---

Computed, not measured: a relaxed structure of LaHg2Br at the GGA-PBE level of DFT.

Cell lengths 6.0563, 10.1314, 3.8821 Å; angles 90.00, 90.24, 90.00 degrees
With the nearest neighbours (Å) after each atom.
Space group C2/m (No. 12)
Inequivalent atoms, fractional coordinates:
La1 0.0000 0.0000 0.0000 x2  2 Br 3.03
Hg1 0.2500 0.2500 0.5000 x4  2 Hg 3.03
Br1 0.0000 0.5000 0.0000 x2  2 La 3.03

Results
The spin magnetization is 0.00 μB/cell. The formation energy (no corrections) comes out at -635 meV per atom. The value obtained for the excess energy over the best structure of this formula in the dataset is 0.28 eV/f.u.

---

Computed, not measured: a relaxed structure of CsNa2GeAu at the GGA-PBE level of DFT.

Cell lengths 6.3816, 6.3816, 5.7529 Å; angles 90.00, 90.00, 90.00 degrees
With the nearest neighbours (Å) after each atom.
Space group P4/mmm (No. 123)
Inequivalent atoms, fractional coordinates:
Cs1 0.0000 0.0000 0.0000 x1  2 Ge 2.88, 4 Na 3.19
Na1 0.0000 0.5000 0.0000 x2  2 Cs 3.19
Ge1 0.0000 0.0000 0.5000 x1  2 Cs 2.88
Au1 0.5000 0.5000 0.5000 x1  8 Na 4.30, 4 Ge 4.51

Results
As for the calculated formation energy: 1.044 eV/atom. The spin magnetization is 0.00 μB/cell. The value obtained for the excess energy over the best structure of this formula in the dataset is 5.78 eV/f.u.

---

Computed, not measured: a relaxed structure of Cs2ScPd at the GGA-PBE level of DFT.

Cell lengths 13.8725, 13.8725, 4.9811 Å; angles 90.00, 90.00, 90.00 degrees
With the nearest neighbours (Å) after each atom.
Space group I-42d (No. 122)
Inequivalent atoms, fractional coordinates:
Cs1 0.0824 0.2500 0.1250 x8  2 Pd 3.70, 2 Sc 4.10
Sc1 0.0000 0.0000 0.5000 x4  2 Pd 2.49
Pd1 0.0000 0.0000 0.0000 x4  2 Sc 2.49

Results
As for the calculated formation energy: 0.331 eV/atom. The spin magnetization is 1.78 μB/cell. The value obtained for the excess energy over the best structure of this formula in the dataset is 0.00 eV/f.u.

---

Computed, not measured: a relaxed structure of PrCdO2 at the GGA-PBE level of DFT.

Cell lengths 3.6538, 3.6538, 20.2075 Å; angles 90.00, 90.00, 120.00 degrees
With the nearest neighbours (Å) after each atom.
Space group R-3m (No. 166, hexagonal axes)
Inequivalent atoms, fractional coordinates:
Pr1 0.0000 0.0000 0.0000 x3  2 O 2.22
Cd1 0.0000 0.0000 0.5000 x3  6 O 2.40
O1 0.0000 0.0000 0.1096 x6  1 Pr 2.22, 3 Cd 2.40

Results
The spin magnetization is 0.61 μB/cell. The formation energy (no corrections) comes out at -1205 meV per atom.

---

Computed, not measured: a relaxed structure of YSc2 at the GGA-PBE level of DFT.

Cell lengths 12.2025, 3.4360, 7.9614 Å; angles 90.00, 102.78, 90.00 degrees
With the nearest neighbours (Å) after each atom.
Space group Cm (No. 8)
Inequivalent atoms, fractional coordinates:
Y1 0.0000 0.0000 0.0000 x2  8 Sc 3.30-3.44, 4 Y 3.44-3.50
Y2 0.1710 0.5000 0.3441 x2  8 Sc 3.26-3.41, 4 Y 3.44-3.50
Sc1 0.1180 0.5000 0.7272 x2  3 Y 3.26-3.34, 9 Sc 3.28-3.44
Sc2 0.2810 0.0000 0.0599 x2  7 Sc 3.28-3.48, 5 Y 3.30-3.36
Sc3 0.3368 0.0000 0.6751 x2  8 Sc 3.25-3.44, 4 Y 3.37-3.41
Sc4 0.4455 0.5000 0.4053 x2  8 Sc 3.25-3.48, 4 Y 3.28-3.44

Results
As for the calculated formation energy: 0.034 eV/atom. The spin magnetization is 0.00 μB/cell. The value obtained for the excess energy over the best structure of this formula in the dataset is 0.03 eV/f.u.